[1]
Material: TiNF
Method: DFT, PBE
State: optimized geometry

Cell: 5.7302 5.7302 5.7302 Å, 140.21 140.21 57.54°
With the nearest neighbours (Å) after each atom.
Positions (direct):
N (0.4176, 0.4176, 0.0000)  1 Ti 1.81
Ti (0.3474, 0.8474, 0.5000)  1 N 1.81, 2 F 1.95
Ti (0.5974, 0.5974, 0.0000)  1 N 1.81, 2 F 1.95
N (0.1676, 0.6676, 0.5000)  1 Ti 1.81
F (0.8600, 0.8600, 0.0000)  2 Ti 1.95
F (0.6100, 0.1100, 0.5000)  2 Ti 1.95

## Properties
The calculation puts the raw total energy at -8.109 eV per atom. Its space group is I4_1md (109).

[2]
Material: Ti2N2F
Method: DFT, PBE
State: optimized geometry

Cell: 2.9329 2.9329 6.5534 Å, 102.93 102.93 90.00°
With the nearest neighbours (Å) after each atom.
Positions (direct):
N (0.3316, 0.3316, 0.6632)  5 Ti 2.08-2.12
F (0.0000, 0.0000, 0.0000)  2 Ti 2.00
N (0.6684, 0.6684, 0.3368)  5 Ti 2.08-2.12
Ti (0.8389, 0.8389, 0.6778)  1 F 2.00, 5 N 2.08-2.12
Ti (0.1611, 0.1611, 0.3222)  1 F 2.00, 5 N 2.08-2.12

## Properties
The calculation puts the raw total energy at -8.929 eV per atom. Its space group is I4/mmm (139).

- raw total energy of number 2 (Ti2N2F)?
  -8.929 eV per atom